Record 1
KPuRe2N6 after structural relaxation. Source: the Alexandria database, functional GGA-PBE.

Cell: 11.242 10.638 6.428 Å, 90.00 109.69 90.00°
Space group C2/c (No. 15)
Symmetry-distinct sites (fractional):
K: 0.000 0.086 0.250 (multiplicity 4)
Pu: 0.000 0.297 0.750 (multiplicity 4)
Re: 0.205 0.416 0.182 (multiplicity 8)
N: 0.099 0.286 0.118 (multiplicity 8)
N: 0.136 0.140 0.715 (multiplicity 8)
N: 0.164 0.477 0.888 (multiplicity 8)

Results
Uncorrected energy   -372.5 eV/cell
Calculated density   6.79 Mg/m³

---

Record 2
KSrPuN3 after structural relaxation. Source: the Alexandria database, functional GGA-PBE.

Cell: 6.294 12.941 5.804 Å, 90.00 101.04 90.00°
Space group C2/c (No. 15)
Symmetry-distinct sites (fractional):
K: 0.000 0.069 0.250 (multiplicity 4)
Sr: 0.000 0.271 0.750 (multiplicity 4)
Pu: 0.000 0.431 0.250 (multiplicity 4)
N: 0.000 0.276 0.250 (multiplicity 4)
N: 0.170 0.440 0.994 (multiplicity 8)

Results
Uncorrected energy   -180.5 eV/cell
Calculated density   5.91 Mg/m³

---

Record 3
K2PuTa3N8 after structural relaxation. Source: the Alexandria database, functional GGA-PBE.

Cell: 6.3807 6.3807 20.3340 Å, 90.00 90.00 120.00°
Space group R3m (No. 160, hexagonal axes)
Symmetry-distinct sites (fractional):
K: 0.0000 0.0000 0.0000 (multiplicity 3)
K: 0.0000 0.0000 0.3422 (multiplicity 3)
Pu: 0.0000 0.0000 0.5092 (multiplicity 3)
Ta: 0.0019 0.5010 0.5007 (multiplicity 9)
N: 0.0000 0.0000 0.2157 (multiplicity 3)
N: 0.0000 0.0000 0.7845 (multiplicity 3)
N: 0.1707 0.3414 0.5553 (multiplicity 9)
N: 0.1723 0.3446 0.1194 (multiplicity 9)

Results
Uncorrected energy   -386.2 eV/cell
Calculated density   6.79 Mg/m³

---

Record 4
K2PuTcN4 after structural relaxation. Source: the Alexandria database, functional GGA-PBE.

Cell: 6.310 7.369 6.769 Å, 90.00 90.00 90.00°
Space group Pmmn (No. 59, origin choice 2)
Symmetry-distinct sites (fractional):
K: 0.250 0.004 0.230 (multiplicity 4)
Pu: 0.250 0.250 0.698 (multiplicity 2)
Tc: 0.250 0.750 0.667 (multiplicity 2)
N: 0.015 0.750 0.504 (multiplicity 4)
N: 0.250 0.540 0.813 (multiplicity 4)

Results
Uncorrected energy   -126.3 eV/cell
Calculated density   5.03 Mg/m³

---

What is the calculated density in the second record?
5.91 Mg/m³

---

Among the records above, which one has the highest uncorrected energy?
K2PuTcN4

---

What did the fourth record say?
K2PuTcN4 after structural relaxation. Source: the Alexandria database, functional GGA-PBE.

Cell: 6.310 7.369 6.769 Å, 90.00 90.00 90.00°
Space group Pmmn (No. 59, origin choice 2)
Symmetry-distinct sites (fractional):
K: 0.250 0.004 0.230 (multiplicity 4)
Pu: 0.250 0.250 0.698 (multiplicity 2)
Tc: 0.250 0.750 0.667 (multiplicity 2)
N: 0.015 0.750 0.504 (multiplicity 4)
N: 0.250 0.540 0.813 (multiplicity 4)

Results
Uncorrected energy   -126.3 eV/cell
Calculated density   5.03 Mg/m³

---

calculated density of number 2 (KSrPuN3)?
5.91 Mg/m³